Entry 1:
NaPm2Sc3Se6 | Alexandria via LeMat-Bulk | GGA-PBE | optimized geometry; symmetry = No. 12; formation energy without anion corrections = -1.674 eV per atom
1.0
3.9857 0.0000 0.0000
0.0000 8.1487 0.2115
-1.9928 -2.4343 8.4895
Pm Se Sc Na
2 6 3 1
Cartesian
0.0000 1.9381 2.9344 Pm
1.9928 3.7763 5.7665 Pm
0.0000 5.9942 0.2382 Se
1.9928 -0.2798 8.4627 Se
1.9928 4.0771 2.8371 Se
1.9928 -0.2911 2.9157 Se
0.0000 1.6373 5.8638 Se
0.0000 6.0055 5.7852 Se
0.0000 5.9002 3.0039 Sc
1.9928 4.0744 0.1057 Sc
1.9928 -0.1858 5.6971 Sc
1.9928 0.0000 0.0000 Na


Entry 2:
MnCd3Pd | Alexandria via LeMat-Bulk | GGA-PBE | optimized geometry; symmetry = No. 221; offset from the most stable computed form = 0.00 eV/f.u.; energy of formation = 0.472 eV per atom
1.0
5.1381 0.0000 0.0000
0.0000 5.1381 0.0000
0.0000 0.0000 5.1381
Cd Mn Pd
3 1 1
Cartesian
2.5691 0.0000 0.0000 Cd
0.0000 2.5691 0.0000 Cd
0.0000 0.0000 2.5691 Cd
2.5691 2.5691 2.5691 Mn
0.0000 0.0000 0.0000 Pd